The following is a DFT calculation (PBE) of a relaxed structure of Sr2CeZnSe5.

Results
Crystal system   orthorhombic
Magnetization   0.0 μB/cell
Uncorrected formation energy   -1.594 eV per atom
Calculated total energy   -42.34 eV/f.u.

CIF file:
```
data_Sr2CeZnSe5
_chemical_formula_sum 'Sr8 Ce4 Zn4 Se20'
_cell_length_a 4.227
_cell_length_b 18.384
_cell_length_c 12.840
_cell_angle_alpha 90.00
_cell_angle_beta 90.00
_cell_angle_gamma 90.00
_symmetry_space_group_name_H-M 'C m c 21'
_symmetry_Int_Tables_number 36
loop_
_symmetry_equiv_pos_as_xyz
'x,y,z'
'-x,-y,z+1/2'
'-x,y,z'
'x,-y,z+1/2'
'x+1/2,y+1/2,z'
'-x+1/2,-y+1/2,z+1/2'
'-x+1/2,y+1/2,z'
'x+1/2,-y+1/2,z+1/2'
loop_
_atom_site_label
_atom_site_fract_x
_atom_site_fract_y
_atom_site_fract_z
Sr1 0.000 0.110 0.000
Sr2 0.000 0.119 0.638
Ce1 0.000 0.206 0.335
Zn1 0.000 0.442 0.756
Se1 0.000 0.050 0.361
Se2 0.000 0.292 0.986
Se3 0.000 0.308 0.682
Se4 0.000 0.358 0.322
Se5 0.000 0.500 0.088
```